Below is a relaxed NaPrTc2O8 crystal, with properties calculated at the PBE-GGA level.

The value obtained for the uncorrected energy is -7.430 eV/atom. For the calculated density, the calculation gives 4.8 Mg/m³. For the raw formation energy, the calculation gives -2187 kJ/mol of formula units.

Lattice parameters (Å, degrees): 5.3539 5.3539 7.0247 112.40 112.40 90.00
Closest atoms and distances in Å follow each position.
Sites, in units of the cell vectors:
Na 0.7500 0.2500 0.5000  8 O 2.58
Pr 0.0000 0.0000 0.0000  8 O 2.48-2.52
Tc 0.5000 0.5000 0.0000  4 O 1.80
Tc 0.2500 0.7500 0.5000  4 O 1.79
O 0.7275 0.8246 0.1538  1 Tc 1.80
O 0.4263 0.3293 0.1538  1 Tc 1.80
O 0.5761 0.6955 0.6669  1 Tc 1.79
O 0.0909 0.9714 0.6669  1 Tc 1.79
O 0.0286 0.4239 0.3331  1 Tc 1.79
O 0.3045 0.9091 0.3331  1 Tc 1.79
O 0.1754 0.5737 0.8462  1 Tc 1.80
O 0.6707 0.2725 0.8462  1 Tc 1.80

Below is a relaxed Na2PrTeO6 crystal, with properties calculated at the PBE-GGA level.

The value obtained for the uncorrected energy is -5.792 eV/atom. For the calculated density, the calculation gives 4.8 Mg/m³. For the raw formation energy, the calculation gives -1699 kJ/mol of formula units.

Lattice parameters (Å, degrees): 5.7873 5.9529 8.2718 90.00 89.96 90.00
Closest atoms and distances in Å follow each position.
Sites, in units of the cell vectors:
Na 0.0094 0.9621 0.2563  4 O 2.42-2.58
Na 0.5094 0.5379 0.7563  4 O 2.42-2.58
Na 0.9906 0.0379 0.7437  4 O 2.42-2.58
Na 0.4906 0.4621 0.2437  4 O 2.42-2.58
Pr 0.5000 0.0000 0.0000  6 O 2.34-2.40
Pr 0.0000 0.5000 0.5000  6 O 2.34-2.40
Te 0.5000 0.0000 0.5000  6 O 1.94-1.95
Te 0.0000 0.5000 0.0000  6 O 1.94-1.95
O 0.2715 0.6806 0.0447  1 Te 1.94
O 0.7715 0.8194 0.5447  1 Te 1.94
O 0.7285 0.3194 0.9553  1 Te 1.94
O 0.2285 0.1806 0.4553  1 Te 1.94
O 0.3275 0.7322 0.4382  1 Te 1.95
O 0.8275 0.7678 0.9382  1 Te 1.95
O 0.6725 0.2678 0.5618  1 Te 1.95
O 0.1725 0.2322 0.0618  1 Te 1.95
O 0.8987 0.5448 0.2222  1 Te 1.95
O 0.3987 0.9552 0.7222  1 Te 1.95
O 0.1013 0.4552 0.7778  1 Te 1.95
O 0.6013 0.0448 0.2778  1 Te 1.95

Below is a relaxed NaPrTe2O8 crystal, with properties calculated at the PBE-GGA level.

The value obtained for the uncorrected energy is -5.924 eV/atom. For the calculated density, the calculation gives 5.3 Mg/m³. For the raw formation energy, the calculation gives -1837 kJ/mol of formula units.

Lattice parameters (Å, degrees): 5.4074 5.4074 6.9864 112.77 112.77 90.00
Closest atoms and distances in Å follow each position.
Sites, in units of the cell vectors:
Na 0.0000 0.0000 0.0000  8 O 2.53-2.57
Pr 0.7500 0.2500 0.5000  8 O 2.48-2.52
Te 0.5000 0.5000 0.0000  4 O 1.86
Te 0.2500 0.7500 0.5000  4 O 1.85
O 0.7430 0.8280 0.1729  1 Te 1.86
O 0.4300 0.3450 0.1729  1 Te 1.86
O 0.5738 0.6675 0.6652  1 Te 1.85
O 0.0914 0.9977 0.6652  1 Te 1.85
O 0.0023 0.4262 0.3348  1 Te 1.85
O 0.3325 0.9086 0.3348  1 Te 1.85
O 0.1720 0.5700 0.8271  1 Te 1.86
O 0.6550 0.2570 0.8271  1 Te 1.86

Below is a relaxed NaPrTi4O12 crystal, with properties calculated at the PBE-GGA level.

The value obtained for the uncorrected energy is -7.839 eV/atom. For the calculated density, the calculation gives 3.9 Mg/m³. For the raw formation energy, the calculation gives -4238 kJ/mol of formula units.

Lattice parameters (Å, degrees): 5.4526 5.4526 7.8864 90.00 90.00 90.00
Closest atoms and distances in Å follow each position.
Sites, in units of the cell vectors:
Na 0.5000 0.5000 0.0000  12 O 2.73-2.88
Pr 0.0000 0.0000 0.5000  12 O 2.63-2.73
Ti 0.0000 0.5000 0.7622  6 O 1.88-2.07
Ti 0.0000 0.5000 0.2378  6 O 1.88-2.07
Ti 0.5000 0.0000 0.7622  6 O 1.88-2.07
Ti 0.5000 0.0000 0.2378  6 O 1.88-2.07
O 0.2440 0.2440 0.7339  2 Ti 1.94
O 0.2440 0.2440 0.2661  2 Ti 1.94
O 0.7560 0.7560 0.7339  2 Ti 1.94
O 0.7560 0.7560 0.2661  2 Ti 1.94
O 0.7560 0.2440 0.7339  2 Ti 1.94
O 0.7560 0.2440 0.2661  2 Ti 1.94
O 0.2440 0.7560 0.7339  2 Ti 1.94
O 0.2440 0.7560 0.2661  2 Ti 1.94
O 0.0000 0.5000 0.5000  2 Ti 2.07
O 0.0000 0.5000 0.0000  2 Ti 1.88
O 0.5000 0.0000 0.5000  2 Ti 2.07
O 0.5000 0.0000 0.0000  2 Ti 1.88

Below is a relaxed NaPrTiO4 crystal, with properties calculated at the PBE-GGA level.

The calculation puts the relative energy among the computed polymorphs at 0 meV per atom. The value obtained for the uncorrected energy is -7.762 eV/atom. For the calculated density, the calculation gives 4.9 Mg/m³. For the raw formation energy, the calculation gives -1979 kJ/mol of formula units.

Lattice parameters (Å, degrees): 3.7645 3.7645 13.1904 90.00 90.00 90.00
Closest atoms and distances in Å follow each position.
Sites, in units of the cell vectors:
Na 0.0000 0.5000 0.4175  1 O 2.32
Na 0.5000 0.0000 0.5825  1 O 2.32
Pr 0.0000 0.5000 0.1087  5 O 2.36-2.52
Pr 0.5000 0.0000 0.8913  5 O 2.36-2.52
Ti 0.0000 0.5000 0.7269  5 O 1.76-1.94
Ti 0.5000 0.0000 0.2731  5 O 1.76-1.94
O 0.0000 0.0000 0.7640  2 Ti 1.94
O 0.5000 0.5000 0.7640  2 Ti 1.94
O 0.5000 0.5000 0.2360  2 Ti 1.94
O 0.0000 0.0000 0.2360  2 Ti 1.94
O 0.0000 0.5000 0.9299  1 Pr 2.36
O 0.5000 0.0000 0.0701  1 Pr 2.36
O 0.0000 0.5000 0.5932  1 Ti 1.76
O 0.5000 0.0000 0.4068  1 Ti 1.76

Below is a relaxed Na4Pr3TiO8 crystal, with properties calculated at the PBE-GGA level.

The value obtained for the uncorrected energy is -6.641 eV/atom. For the calculated density, the calculation gives 4.9 Mg/m³. For the raw formation energy, the calculation gives -3770 kJ/mol of formula units.

Lattice parameters (Å, degrees): 6.9315 6.9267 6.9324 120.00 120.00 90.00
Closest atoms and distances in Å follow each position.
Sites, in units of the cell vectors:
Na 0.5000 0.0000 0.0000  6 O 2.80
Na 0.5000 0.0000 0.5000  6 O 2.50-2.51
Na 0.0000 0.0000 0.0000  6 O 2.50-2.51
Na 0.0000 0.0000 0.5000  6 O 2.50-2.51
Pr 0.5000 0.5000 0.0000  6 O 2.40-2.44
Pr 0.5000 0.5000 0.5000  6 O 2.40-2.44
Pr 0.0000 0.5000 0.5000  6 O 2.40-2.44
Ti 0.0000 0.5000 0.0000  6 O 2.10
O 0.2144 0.7066 0.9920  1 Ti 2.10
O 0.2141 0.7064 0.4283  1 Ti 2.10
O 0.2549 0.2645 0.5099  3 Pr 2.40, 3 Na 2.50
O 0.7776 0.7066 0.9920  1 Ti 2.10
O 0.2224 0.2934 0.0080  1 Ti 2.10
O 0.7451 0.7355 0.4901  3 Pr 2.40, 3 Na 2.50
O 0.7859 0.2936 0.5717  1 Ti 2.10
O 0.7856 0.2934 0.0080  1 Ti 2.10

calculated density of number 6 (Na4Pr3TiO8)?
4.9 Mg/m³